[1]
7
Lattice="-0.596 -2.619 0.969 4.545 0.066 -1.232 -0.443 2.741 7.138" Properties=species:S:1:pos:R:3 comment="GGA-PBE Ti3Nb2N2, relaxed" total_energy_ev_per_atom=-9.348 raw_formation_energy_ev_per_atom=-0.71 spacegroup="No. 12" pbc="T T T"
Ti -0.298 -1.310 0.484
Ti 0.384 -0.437 3.265
Ti 3.122 0.624 3.610
Nb 2.262 -1.521 1.488
Nb 1.244 1.709 5.386
N 2.853 -0.174 5.494
N 0.652 0.362 1.381

[2]
4
Lattice="5.671 0.003 0.010 -2.615 4.613 0.002 0.441 0.899 2.743" Properties=species:S:1:pos:R:3 comment="GGA-PBE Zr2ReIr, relaxed" total_energy_ev_per_atom=-9.810 ef_kj_per_mol_fu=-81 spacegroup="No. 12" pbc="T T T"
Ir -1.087 2.756 1.372
Re 1.528 2.308 0.006
Zr 0.000 0.000 0.000
Zr 3.056 0.451 1.377

[3]
16
Lattice="-4.232 1.075 -2.562 -2.890 -0.696 4.483 0.751 6.520 1.496" Properties=species:S:1:pos:R:3 comment="GGA-PBE Li2AsHO4, relaxed" total_energy_ev_per_atom=-5.563 spacegroup="No. 31" pbc="T T T"
Li -2.935 2.006 0.596
Li -2.575 5.140 1.315
Li -1.384 4.502 4.083
Li -1.774 1.116 3.306
As -4.116 3.205 3.242
As -4.663 0.951 -1.803
H -3.492 4.240 -1.581
H -4.630 -0.251 3.417
O -2.014 0.262 -0.133
O -5.637 3.607 2.254
O -1.834 3.614 0.312
O -6.379 0.398 1.469
O -3.137 4.586 3.109
O -4.559 2.121 -0.577
O -4.125 5.895 0.289
O -3.453 1.840 2.479

[4]
4
Lattice="4.951 0.000 0.000 2.476 4.288 0.000 2.476 1.429 4.043" Properties=species:S:1:pos:R:3 comment="GGA-PBE Cd2HgAu, relaxed" polymorph_energy_mev_per_atom=123.4 total_energy_ev_per_atom=-1.311 ef_kj_per_mol_fu=16 spacegroup="No. 216" pbc="T T T"
Au 4.951 2.859 2.021
Hg 2.476 1.429 1.011
Cd 0.000 0.000 0.000
Cd 7.427 4.288 3.032

no.,calculated density (g cm⁻³)
1,6.4
2,13.0
3,2.8
4,12.0